## TeRuBr2 (PBE-GGA)

Data for crystalline TeRuBr2 at its relaxed geometry.

Values from the calculation:
M_tot = 2.8 μB per cell
Formation energy from raw total energies = 960 meV per atom

Lattice parameters (Å, degrees): 5.3549 5.3549 3.3066 90.00 90.00 90.00
Space group P4/mmm (No. 123)
Symmetry-distinct sites (fractional):
1 Te 0.0000 0.0000 0.0000 (multiplicity 1)
2 Ru 0.5000 0.5000 0.0000 (multiplicity 1)
3 Br 0.0000 0.5000 0.5000 (multiplicity 2)

***

## DyTm3Pd3 (PBE-GGA)

Data for crystalline DyTm3Pd3 at its relaxed geometry.

Values from the calculation:
M_tot = 0.0 μB per cell
Energy relative to the elements = -5.1 eV/f.u.
Distance to the lowest polymorph of the same formula = 12 meV per atom

Lattice parameters (Å, degrees): 9.1024 10.3504 7.0325 90.00 91.97 90.00
Space group C2/m (No. 12)
Symmetry-distinct sites (fractional):
1 Dy 0.2354 0.0000 0.3780 (multiplicity 4)
2 Tm 0.0000 0.2510 0.5000 (multiplicity 4)
3 Tm 0.0000 0.3231 0.0000 (multiplicity 4)
4 Tm 0.1524 0.0000 0.8649 (multiplicity 4)
5 Pd 0.0612 0.5000 0.3053 (multiplicity 4)
6 Pd 0.2430 0.2470 0.2218 (multiplicity 8)

***

## Na6Tl2Hg (PBE-GGA)

Data for crystalline Na6Tl2Hg at its relaxed geometry.

Values from the calculation:
M_tot = 0.0 μB per cell
Energy relative to the elements = -0.8 eV/f.u.
Distance to the lowest polymorph of the same formula = 0 meV per atom

Lattice parameters (Å, degrees): 17.0105 9.5392 3.2496 90.00 98.52 90.00
Space group C2/m (No. 12)
Symmetry-distinct sites (fractional):
1 Na 0.0000 0.1778 0.0000 (multiplicity 4)
2 Na 0.1661 0.3323 0.8448 (multiplicity 8)
3 Tl 0.1673 0.0000 0.4771 (multiplicity 4)
4 Hg 0.0000 0.5000 0.5000 (multiplicity 2)

***

## KRb2BaHg (PBE-GGA)

Data for crystalline KRb2BaHg at its relaxed geometry.

Values from the calculation:
M_tot = 0.0 μB per cell
Energy relative to the elements = -0.3 eV/f.u.

Lattice parameters (Å, degrees): 7.1415 7.1415 6.7612 90.00 90.00 90.00
Space group P4/mmm (No. 123)
Symmetry-distinct sites (fractional):
1 K 0.0000 0.0000 0.0000 (multiplicity 1)
2 Rb 0.0000 0.5000 0.5000 (multiplicity 2)
3 Ba 0.5000 0.5000 0.0000 (multiplicity 1)
4 Hg 0.5000 0.5000 0.5000 (multiplicity 1)

***

## TbPrPu2S4 (PBE-GGA)

Data for crystalline TbPrPu2S4 at its relaxed geometry.

Values from the calculation:
M_tot = 0.1 μB per cell
Formation energy from raw total energies = -1897 meV per atom

Lattice parameters (Å, degrees): 6.8615 3.9831 6.9705 90.00 109.52 90.00
Space group P2/m (No. 10)
Symmetry-distinct sites (fractional):
1 Tb 0.0000 0.0000 0.0000 (multiplicity 1)
2 Pr 0.0000 0.5000 0.5000 (multiplicity 1)
3 Pu 0.5000 0.0000 0.5000 (multiplicity 1)
4 Pu 0.5000 0.5000 0.0000 (multiplicity 1)
5 S 0.2523 0.5000 0.2449 (multiplicity 2)
6 S 0.2578 0.0000 0.7605 (multiplicity 2)

***

## AgTe2OsN (PBE-GGA)

Data for crystalline AgTe2OsN at its relaxed geometry.

Values from the calculation:
M_tot = 0.0 μB per cell
Formation energy from raw total energies = 1899 meV per atom
Distance to the lowest polymorph of the same formula = 1508 meV per atom

Lattice parameters (Å, degrees): 5.3847 5.3847 3.7122 90.00 90.00 90.00
Space group P4/mmm (No. 123)
Symmetry-distinct sites (fractional):
1 Ag 0.0000 0.0000 0.0000 (multiplicity 1)
2 Te 0.0000 0.5000 0.0000 (multiplicity 2)
3 Os 0.5000 0.5000 0.5000 (multiplicity 1)
4 N 0.0000 0.0000 0.5000 (multiplicity 1)